AgPtS2Cl | PBE | optimized geometry

abc: 4.5245 4.5245 5.8148
angles: 90.00 90.00 90.00
Positions (direct):
1 Ag 0.0000 0.0000 0.0000
2 Pt 0.0000 0.0000 0.5000
3 S 0.0000 0.5000 0.5000
4 S 0.5000 0.0000 0.5000
5 Cl 0.5000 0.5000 0.0000

- D(E_F) (states/eV per cell) = 5.2
- formation energy (no corrections) (kJ/mol of atoms) = 35.0
- energy above the most stable polymorph in this dataset (meV per atom) = 0.0
- ρ (Mg/m³) = 5.62

=====

SrTaTe | PBE | optimized geometry

abc: 3.6921 3.6921 7.1523
angles: 90.00 90.00 120.00
Positions (direct):
1 Sr 0.0000 0.0000 0.0000
2 Ta 0.6667 0.3333 0.3729
3 Te 0.3333 0.6667 0.6252

- D(E_F) (states/eV per cell) = 1.1
- formation energy (no corrections) (kJ/mol of atoms) = 14.0
- energy above the most stable polymorph in this dataset (meV per atom) = 483.0
- ρ (Mg/m³) = 7.79

=====

Tl5Cu2Se4 | PBE | optimized geometry

abc: 9.3715 9.3715 10.1747
angles: 93.21 93.21 24.48
Positions (direct):
1 Tl 0.0000 0.0000 0.0000
2 Tl 0.3217 0.3217 0.1019
3 Tl 0.3654 0.3654 0.5213
4 Tl 0.6346 0.6346 0.4787
5 Tl 0.6783 0.6783 0.8981
6 Cu 0.0854 0.0854 0.7126
7 Cu 0.9146 0.9146 0.2874
8 Se 0.2131 0.2131 0.6883
9 Se 0.4838 0.4838 0.2617
10 Se 0.5162 0.5162 0.7383
11 Se 0.7869 0.7869 0.3117

- D(E_F) (states/eV per cell) = 4.2
- formation energy (no corrections) (kJ/mol of atoms) = -24.0
- ρ (Mg/m³) = 6.58

=====

TaFe3 | PBE | optimized geometry

abc: 4.7353 4.7353 4.7353
angles: 90.00 90.00 90.00
Positions (direct):
1 Ta 0.0000 0.0000 0.0000
2 Ta 0.5000 0.5000 0.5000
3 Fe 0.0000 0.2500 0.5000
4 Fe 0.0000 0.7500 0.5000
5 Fe 0.2500 0.5000 0.0000
6 Fe 0.5000 0.0000 0.2500
7 Fe 0.5000 0.0000 0.7500
8 Fe 0.7500 0.5000 0.0000

- D(E_F) (states/eV per cell) = 9.2
- ρ (Mg/m³) = 10.90
- DFT formation energy (eV per atom) = -0.024

=====

LiFe2Ru | PBE | optimized geometry

abc: 4.2082 4.2082 2.9087
angles: 90.00 90.00 90.00
Positions (direct):
1 Li 0.0000 0.0000 0.0000
2 Fe 0.0000 0.5000 0.5000
3 Fe 0.5000 0.0000 0.5000
4 Ru 0.5000 0.5000 0.0000

- D(E_F) (states/eV per cell) = 3.5
- ρ (Mg/m³) = 7.08
- DFT formation energy (eV per atom) = 0.222

=====

Re3BiC | PBE | optimized geometry

abc: 5.0312 5.0312 5.0312
angles: 90.00 90.00 90.00
Positions (direct):
1 Re 0.0000 0.0000 0.5000
2 Re 0.0000 0.5000 0.0000
3 Re 0.5000 0.0000 0.0000
4 Bi 0.0000 0.0000 0.0000
5 C 0.5000 0.5000 0.5000

- D(E_F) (states/eV per cell) = 8.3
- energy above the most stable polymorph in this dataset (meV per atom) = 3708.8
- ρ (Mg/m³) = 10.17
- DFT formation energy (eV per atom) = 4.574

=====

Sc2FeHg2 | PBE | optimized geometry

abc: 7.3256 7.3256 3.9314
angles: 90.00 90.00 90.00
Positions (direct):
1 Sc 0.1675 0.3325 0.0000
2 Sc 0.3325 0.8325 0.0000
3 Sc 0.6675 0.1675 0.0000
4 Sc 0.8325 0.6675 0.0000
5 Fe 0.0000 0.0000 0.5000
6 Fe 0.5000 0.5000 0.5000
7 Hg 0.1399 0.6399 0.5000
8 Hg 0.3601 0.1399 0.5000
9 Hg 0.6399 0.8601 0.5000
10 Hg 0.8601 0.3601 0.5000

- D(E_F) (states/eV per cell) = 13.6
- ρ (Mg/m³) = 8.61
- DFT formation energy (eV per atom) = 0.006

=====

Pu2PaSi2Ru5 | PBE | optimized geometry

abc: 9.9294 9.9294 3.5090
angles: 90.00 90.00 90.00
Positions (direct):
1 Pu 0.1698 0.3302 0.0000
2 Pu 0.3302 0.8302 0.0000
3 Pu 0.6698 0.1698 0.0000
4 Pu 0.8302 0.6698 0.0000
5 Pa 0.0000 0.0000 0.0000
6 Pa 0.5000 0.5000 0.0000
7 Si 0.1262 0.6262 0.0000
8 Si 0.3738 0.1262 0.0000
9 Si 0.6262 0.8738 0.0000
10 Si 0.8738 0.3738 0.0000
11 Ru 0.0000 0.5000 0.5000
12 Ru 0.0723 0.7890 0.5000
13 Ru 0.2110 0.0723 0.5000
14 Ru 0.2890 0.5723 0.5000
15 Ru 0.4277 0.2890 0.5000
16 Ru 0.5000 0.0000 0.5000
17 Ru 0.5723 0.7110 0.5000
18 Ru 0.7110 0.4277 0.5000
19 Ru 0.7890 0.9277 0.5000
20 Ru 0.9277 0.2110 0.5000

- D(E_F) (states/eV per cell) = 50.1
- formation energy (no corrections) (kJ/mol of atoms) = -47.5
- ρ (Mg/m³) = 12.29

=====

Dy8Ho6Zr | PBE | optimized geometry

abc: 9.7248 9.7248 5.7491
angles: 90.00 90.00 120.00
Positions (direct):
1 Dy 0.0517 0.2704 0.2648
2 Dy 0.2187 0.9483 0.2648
3 Dy 0.2704 0.2187 0.7352
4 Dy 0.3333 0.6667 0.2639
5 Dy 0.6667 0.3333 0.7361
6 Dy 0.7296 0.7813 0.2648
7 Dy 0.7813 0.0517 0.7352
8 Dy 0.9483 0.7296 0.7352
9 Ho 0.0929 0.4724 0.7526
10 Ho 0.3795 0.9071 0.7526
11 Ho 0.4724 0.3795 0.2474
12 Ho 0.5276 0.6205 0.7526
13 Ho 0.6205 0.0929 0.2474
14 Ho 0.9071 0.5276 0.2474
15 Zr 0.0000 0.0000 0.0000

- D(E_F) (states/eV per cell) = 22.7
- ρ (Mg/m³) = 8.40
- DFT formation energy (eV per atom) = 0.154

=====

LaIn4Au4 | PBE | optimized geometry

abc: 6.8322 6.8322 9.2587
angles: 90.00 90.00 90.00
Positions (direct):
1 La 0.2500 0.7500 0.2500
2 La 0.7500 0.2500 0.7500
3 In 0.0186 0.2500 0.1374
4 In 0.2500 0.0186 0.6374
5 In 0.2500 0.4814 0.6374
6 In 0.4814 0.2500 0.1374
7 In 0.5186 0.7500 0.8626
8 In 0.7500 0.5186 0.3626
9 In 0.7500 0.9814 0.3626
10 In 0.9814 0.7500 0.8626
11 Au 0.0378 0.2500 0.4382
12 Au 0.2500 0.0378 0.9382
13 Au 0.2500 0.4622 0.9382
14 Au 0.4622 0.2500 0.4382
15 Au 0.5378 0.7500 0.5618
16 Au 0.7500 0.5378 0.0618
17 Au 0.7500 0.9622 0.0618
18 Au 0.9622 0.7500 0.5618

- D(E_F) (states/eV per cell) = 7.5
- ρ (Mg/m³) = 10.65
- DFT formation energy (eV per atom) = -0.343

=====

TlAsS2I | PBE | optimized geometry

abc: 7.1670 5.1013 8.9226
angles: 90.00 106.48 90.00
Positions (direct):
1 Tl 0.2310 0.2500 0.4876
2 Tl 0.7690 0.7500 0.5124
3 As 0.1001 0.2500 0.9133
4 As 0.8999 0.7500 0.0867
5 S 0.0821 0.7500 0.3402
6 S 0.1335 0.7500 0.9587
7 S 0.8665 0.2500 0.0413
8 S 0.9179 0.2500 0.6598
9 I 0.4472 0.7500 0.7123
10 I 0.5528 0.2500 0.2877

- D(E_F) (states/eV per cell) = 4.5
- formation energy (no corrections) (kJ/mol of atoms) = -15.2
- energy above the most stable polymorph in this dataset (meV per atom) = 0.0
- ρ (Mg/m³) = 4.99

=====

NaLi2La | PBE | optimized geometry

abc: 7.7535 7.7535 7.7535
angles: 90.00 90.00 90.00
Positions (direct):
1 Na 0.0000 0.0000 0.0000
2 Na 0.0000 0.5000 0.5000
3 Na 0.5000 0.0000 0.5000
4 Na 0.5000 0.5000 0.0000
5 Li 0.2500 0.2500 0.2500
6 Li 0.2500 0.2500 0.7500
7 Li 0.2500 0.7500 0.2500
8 Li 0.2500 0.7500 0.7500
9 Li 0.7500 0.2500 0.2500
10 Li 0.7500 0.2500 0.7500
11 Li 0.7500 0.7500 0.2500
12 Li 0.7500 0.7500 0.7500
13 La 0.0000 0.0000 0.5000
14 La 0.0000 0.5000 0.0000
15 La 0.5000 0.0000 0.0000
16 La 0.5000 0.5000 0.5000

- D(E_F) (states/eV per cell) = 18.1
- energy above the most stable polymorph in this dataset (meV per atom) = 137.9
- ρ (Mg/m³) = 2.50
- DFT formation energy (eV per atom) = 0.240

=====

LaBeRh2 | PBE | optimized geometry

abc: 5.9944 8.4764 3.0468
angles: 90.00 117.22 90.00
Positions (direct):
1 La 0.0000 0.0000 0.0000
2 La 0.5000 0.5000 0.0000
3 Be 0.0000 0.5000 0.0000
4 Be 0.5000 0.0000 0.0000
5 Rh 0.2500 0.2500 0.5000
6 Rh 0.2500 0.7500 0.5000
7 Rh 0.7500 0.2500 0.5000
8 Rh 0.7500 0.7500 0.5000

- D(E_F) (states/eV per cell) = 5.2
- ρ (Mg/m³) = 8.53
- DFT formation energy (eV per atom) = -0.083

=====

Bi2SbBr | PBE | optimized geometry

abc: 4.0396 4.0396 27.2271
angles: 90.00 90.00 120.00
Positions (direct):
1 Bi 0.0000 0.0000 0.0000
2 Bi 0.0000 0.0000 0.1799
3 Bi 0.3333 0.6667 0.6667
4 Bi 0.3333 0.6667 0.8466
5 Bi 0.6667 0.3333 0.3333
6 Bi 0.6667 0.3333 0.5132
7 Sb 0.0000 0.0000 0.5874
8 Sb 0.3333 0.6667 0.2540
9 Sb 0.6667 0.3333 0.9207
10 Br 0.0000 0.0000 0.7533
11 Br 0.3333 0.6667 0.4199
12 Br 0.6667 0.3333 0.0866

- D(E_F) (states/eV per cell) = 5.2
- formation energy (no corrections) (kJ/mol of atoms) = -4.2
- energy above the most stable polymorph in this dataset (meV per atom) = 0.0
- ρ (Mg/m³) = 8.02

=====

LiBeIr2O | PBE | optimized geometry

abc: 4.0597 4.0597 3.5413
angles: 90.00 90.00 90.00
Positions (direct):
1 Li 0.0000 0.0000 0.0000
2 Be 0.5000 0.5000 0.0000
3 Ir 0.0000 0.5000 0.5000
4 Ir 0.5000 0.0000 0.5000
5 O 0.0000 0.0000 0.5000

- D(E_F) (states/eV per cell) = 1.9
- formation energy (no corrections) (kJ/mol of atoms) = -4.9
- ρ (Mg/m³) = 11.85